Record 1
LiY2Ga3Cu4: optimized geometry, PBE-GGA.

Summary:
Energy   -0.1616 Ha/atom
Calculated formation energy   -0.367 eV per atom

POSCAR file:
```
LiY2Ga3Cu4
1.0
4.119 0.000 0.000
0.000 4.119 0.000
0.000 0.000 10.224
Cu Ga Y Li
4 3 2 1
direct
0.000 0.000 0.000
0.000 0.500 0.364
0.500 0.000 0.636
0.500 0.500 0.000
0.000 0.500 0.131
0.500 0.000 0.869
0.000 0.000 0.500
0.000 0.500 0.763
0.500 0.000 0.237
0.500 0.500 0.500
```

Record 2
LiGaPb2Br6: optimized geometry, PBE-GGA.

Summary:
Energy   -0.1169 Ha/atom
Formation energy without anion corrections   -0.942 eV/atom

POSCAR file:
```
LiGaPb2Br6
1.0
-4.123 4.730 -4.178
-0.931 -1.309 -7.366
-7.309 -2.555 -2.481
Br Pb Ga Li
6 2 1 1
direct
0.704 0.119 0.763
0.581 0.229 0.241
0.119 0.415 0.763
0.950 0.581 0.241
0.415 0.704 0.763
0.229 0.950 0.241
0.009 0.009 0.974
0.516 0.516 0.452
0.816 0.816 0.551
0.324 0.324 0.027
```

Record 3
BaMg12: optimized geometry, PBE-GGA.

Summary:
Energy   -0.0611 Ha/atom
Calculated formation energy   -0.043 eV per atom

POSCAR file:
```
BaMg12
1.0
-3.526 -2.611 -4.150
-3.948 -6.352 2.955
-7.406 3.133 -0.074
Mg Ba
12 1
direct
0.500 0.000 0.500
0.000 0.500 0.000
0.500 0.777 0.223
0.000 0.000 0.500
0.723 0.777 0.777
0.500 0.500 0.000
0.000 0.644 0.356
0.277 0.223 0.223
0.356 0.644 0.644
0.500 0.223 0.777
0.644 0.356 0.356
0.000 0.356 0.644
0.000 0.000 0.000
```

Record 4
Hf4Ga2Ge: optimized geometry, PBE-GGA.

Summary:
Energy   -0.2775 Ha/atom
Calculated formation energy   -0.340 eV per atom
Distance to the lowest polymorph of the same formula   0 meV per atom

POSCAR file:
```
Hf4Ga2Ge
1.0
-2.959 -4.054 -0.779
1.360 0.061 -5.483
9.371 -2.858 2.293
Hf Ga Ge
8 4 2
direct
0.408 0.500 0.732
0.792 0.250 0.555
0.592 0.000 0.268
0.208 0.750 0.445
0.977 0.250 0.107
0.023 0.750 0.893
0.408 0.000 0.732
0.592 0.500 0.268
0.201 0.250 0.424
0.799 0.750 0.576
0.416 0.250 0.002
0.584 0.750 0.998
0.936 0.250 0.830
0.064 0.750 0.170
```

Record 5
PuHfSc2: optimized geometry, PBE-GGA.

Summary:
Energy   -0.3350 Ha/atom
Calculated formation energy   0.122 eV per atom
Distance to the lowest polymorph of the same formula   42 meV per atom

POSCAR file:
```
PuHfSc2
1.0
4.673 0.000 0.000
0.000 4.496 0.000
0.000 0.000 4.496
Sc Hf Pu
2 1 1
direct
0.000 0.000 0.500
0.000 0.500 0.000
0.500 0.500 0.500
0.500 0.000 0.000
```

Record 6
LaZnB: optimized geometry, PBE-GGA.

Summary:
Energy   -0.1633 Ha/atom
Calculated formation energy   -0.152 eV per atom
Distance to the lowest polymorph of the same formula   152 meV per atom

POSCAR file:
```
LaZnB
1.0
3.994 0.003 0.002
0.072 5.314 0.007
2.845 -1.565 5.385
B La Zn
2 2 2
direct
0.200 0.563 0.005
0.536 0.292 0.845
0.979 0.117 0.219
0.758 0.738 0.631
0.589 0.604 0.155
0.148 0.251 0.695
```

Record 7
PuTh8Tc2: optimized geometry, PBE-GGA.

Summary:
Energy   -0.3130 Ha/atom
Calculated formation energy   0.067 eV per atom

POSCAR file:
```
PuTh8Tc2
1.0
6.036 0.000 -2.875
0.751 8.778 1.578
-0.549 1.384 6.622
Th Tc Pu
8 2 1
direct
0.740 0.712 0.991
0.733 0.368 0.466
0.260 0.288 0.009
0.750 0.288 0.009
0.250 0.712 0.991
0.682 0.911 0.365
0.318 0.089 0.635
0.267 0.632 0.534
0.148 0.415 0.297
0.852 0.585 0.703
0.000 0.000 0.000
```

Record 8
BeMoIr2: optimized geometry, PBE-GGA.

Summary:
Energy   -0.2937 Ha/atom
Calculated formation energy   0.078 eV per atom

POSCAR file:
```
BeMoIr2
1.0
4.856 0.005 0.016
-2.329 4.463 -0.004
0.197 0.821 2.585
Be Ir Mo
1 2 1
direct
0.500 0.500 0.000
0.000 0.000 0.000
0.500 0.000 0.500
0.000 0.500 0.500
```

Record 9
HfPa2Se6: optimized geometry, PBE-GGA.

Summary:
Energy   -0.2519 Ha/atom
Distance to the lowest polymorph of the same formula   11 meV per atom
Formation energy without anion corrections   -1.315 eV/atom

POSCAR file:
```
HfPa2Se6
1.0
-3.983 -0.501 0.263
0.213 -5.154 -6.588
3.127 -4.994 7.074
Pa Se Hf
2 6 1
direct
0.162 0.325 0.323
0.838 0.675 0.677
0.655 0.082 0.311
0.001 0.779 0.002
0.673 0.572 0.345
0.327 0.428 0.655
0.345 0.918 0.689
0.999 0.221 0.998
0.500 0.000 0.000
```

Record 10
K3Tm3NbSe8: optimized geometry, PBE-GGA.

Summary:
Energy   -0.1894 Ha/atom
Formation energy without anion corrections   -1.511 eV/atom

POSCAR file:
```
K3Tm3NbSe8
1.0
-6.062 -2.764 -4.574
3.422 -4.817 5.515
-5.434 6.603 3.212
Se Tm Nb K
8 3 1 3
direct
0.777 0.028 0.305
0.252 0.028 0.305
0.223 0.972 0.695
0.265 0.531 0.296
0.777 0.553 0.305
0.223 0.447 0.695
0.748 0.972 0.695
0.735 0.469 0.704
0.500 0.000 0.500
0.000 0.500 0.500
0.500 0.500 0.500
0.000 0.000 0.500
0.500 0.500 0.000
0.000 0.000 0.000
0.000 0.500 0.000
```

Record 11
TbPaZnRh: optimized geometry, PBE-GGA.

Summary:
Energy   -0.2208 Ha/atom
Calculated formation energy   -0.320 eV per atom

POSCAR file:
```
TbPaZnRh
1.0
-4.525 2.006 -0.067
-3.682 -2.114 2.545
-1.791 2.204 4.055
Pa Zn Rh Tb
1 1 1 1
direct
0.250 0.250 0.250
0.500 0.500 0.500
0.000 0.000 0.000
0.750 0.750 0.750
```

Record 12
CaGaSn: optimized geometry, PBE-GGA.

Summary:
Energy   -0.1273 Ha/atom
Calculated formation energy   -0.454 eV per atom

POSCAR file:
```
CaGaSn
1.0
4.583 0.000 0.000
0.000 4.477 0.000
0.000 -2.238 3.877
Ga Ca Sn
1 1 1
direct
0.065 0.000 0.000
0.688 0.667 0.333
0.247 0.333 0.667
```

Record 13
Cs3Pm2US6: optimized geometry, PBE-GGA.

Summary:
Energy   -0.2076 Ha/atom
Formation energy without anion corrections   -1.639 eV/atom

POSCAR file:
```
Cs3Pm2US6
1.0
7.258 -0.001 0.000
-3.628 6.286 0.000
-1.211 -2.097 8.089
S U Cs Pm
6 1 3 2
direct
0.061 0.388 0.184
0.265 0.265 0.815
0.612 0.939 0.816
0.939 0.612 0.816
0.735 0.735 0.185
0.388 0.061 0.184
0.000 0.000 0.000
0.831 0.169 0.500
0.169 0.831 0.500
0.500 0.500 0.500
0.667 0.333 0.000
0.333 0.667 0.000
```

Record 14
HfUTlO6: optimized geometry, PBE-GGA.

Summary:
Energy   -0.3122 Ha/atom
Formation energy without anion corrections   -2.565 eV/atom

POSCAR file:
```
HfUTlO6
1.0
-7.293 1.535 1.766
-0.101 -6.285 5.046
5.375 5.637 0.691
O Hf Tl U
12 2 2 2
direct
0.191 0.949 0.760
0.431 0.051 0.240
0.431 0.689 0.240
0.569 0.311 0.760
0.438 0.688 0.877
0.809 0.689 0.240
0.562 0.312 0.123
0.809 0.051 0.240
0.569 0.949 0.760
0.184 0.934 0.367
0.816 0.066 0.633
0.191 0.311 0.760
0.500 0.000 0.500
0.000 0.000 0.500
0.048 0.298 0.096
0.952 0.702 0.904
0.500 0.000 0.000
0.500 0.500 0.000
```

Record 15
PuMgAgSn: optimized geometry, PBE-GGA.

Summary:
Energy   -0.2162 Ha/atom
Calculated formation energy   -0.187 eV per atom

POSCAR file:
```
PuMgAgSn
1.0
-4.844 -0.525 1.532
-1.049 -2.438 4.364
-1.698 2.618 4.043
Ag Sn Pu Mg
1 1 1 1
direct
0.000 0.000 0.000
0.500 0.500 0.500
0.250 0.250 0.250
0.750 0.750 0.750
```

Record 16
NbCrBr2: optimized geometry, PBE-GGA.

Summary:
Energy   -0.2036 Ha/atom
Distance to the lowest polymorph of the same formula   0 meV per atom
Formation energy without anion corrections   0.219 eV/atom

POSCAR file:
```
NbCrBr2
1.0
-2.205 1.971 9.163
0.574 3.783 8.835
-2.357 5.037 7.860
Nb Br Cr
1 2 1
direct
0.500 0.500 0.500
0.100 0.100 0.100
0.900 0.900 0.900
0.000 0.000 0.000
```

Record 17
LaTh2ScSe4: optimized geometry, PBE-GGA.

Summary:
Energy   -0.2435 Ha/atom
Formation energy without anion corrections   -1.621 eV/atom

POSCAR file:
```
LaTh2ScSe4
1.0
4.117 0.000 0.000
0.000 7.076 0.111
0.000 -2.485 6.951
Se Sc Th La
4 1 2 1
direct
0.500 0.771 0.769
0.000 0.763 0.241
0.000 0.237 0.759
0.500 0.229 0.231
0.000 0.000 0.000
0.000 0.500 0.500
0.500 0.000 0.500
0.500 0.500 0.000
```

Record 18
MgRe2Os: optimized geometry, PBE-GGA.

Summary:
Energy   -0.3319 Ha/atom
Calculated formation energy   0.400 eV per atom

POSCAR file:
```
MgRe2Os
1.0
2.710 0.010 0.000
-1.134 2.461 0.000
0.000 0.000 9.264
Os Re Mg
1 2 1
direct
0.500 0.500 0.750
0.000 0.000 0.508
0.000 0.000 0.992
0.500 0.500 0.250
```

Record 19
RbNaPb: optimized geometry, PBE-GGA.

Summary:
Energy   -0.0745 Ha/atom
Calculated formation energy   -0.028 eV per atom
Distance to the lowest polymorph of the same formula   104 meV per atom

POSCAR file:
```
RbNaPb
1.0
-4.923 -2.034 0.525
1.245 -4.406 -5.374
0.878 -8.504 2.584
Rb Na Pb
2 2 2
direct
0.090 0.444 0.094
0.329 0.183 0.615
0.793 0.647 0.687
0.626 0.981 0.021
0.012 0.867 0.249
0.407 0.761 0.459
```

Record 20
LaAl2SbN: optimized geometry, PBE-GGA.

Summary:
Energy   -0.1978 Ha/atom
Formation energy without anion corrections   -0.410 eV/atom

POSCAR file:
```
LaAl2SbN
1.0
-2.047 -1.443 3.621
-3.920 -1.645 -2.871
1.969 -3.913 -0.446
N Al Sb La
1 2 1 1
direct
0.000 0.000 0.000
0.500 0.000 0.000
0.000 0.000 0.500
0.500 0.500 0.500
0.000 0.500 0.000
```